1.
5
Lattice="4.5835 0.0000 0.0000 0.0000 4.5835 0.0000 0.0000 0.0000 4.9995" Properties=species:S:1:pos:R:3 comment="PBE ZrFe2RuPt, relaxed" e_form_ev_per_atom=1.11 dos_at_fermi_per_ev_atom=1.409 dft_energy_ev_per_atom=-7.047 space_group="P4/mmm, No. 123" pbc="T T T"
Zr 0.0000 0.0000 0.0000
Fe 0.0000 2.2918 2.4997
Fe 2.2918 0.0000 2.4997
Ru 2.2918 2.2918 0.0000
Pt 0.0000 0.0000 2.4997

---

2.
4
Lattice="2.8991 0.0000 0.0000 0.0000 4.3813 0.0000 -0.1050 0.0000 5.0078" Properties=species:S:1:pos:R:3 comment="PBE MnW2Se, relaxed" e_form_raw_ev_per_atom=0.45 dos_at_fermi_per_ev_atom=0.665 dft_energy_ev_per_atom=-9.188 space_group="Pm, No. 6" pbc="T T T"
Mn 0.0000 0.0000 0.0000
W 1.0616 2.1906 1.2092
W 2.0308 0.0000 2.4203
Se 2.2014 2.1906 4.0122

---

3.
8
Lattice="-1.4192 1.4192 8.1406 1.4192 -1.4192 8.1406 1.4192 1.4192 -8.1406" Properties=species:S:1:pos:R:3 comment="PBE TiH2N, relaxed" relative_energy_mev_per_atom=0.0 dos_at_fermi_per_ev_atom=0.246 dft_energy_ev_per_atom=-6.022 space_group="I4_1/amd, No. 141" pbc="T T T"
Ti 1.4192 0.7096 2.0351
Ti 0.0000 0.7096 6.1054
H 1.4192 0.0000 0.0000
H -0.7096 0.7096 4.0703
H 0.0000 0.0000 8.1406
H 0.7096 0.7096 4.0703
N 1.4192 -0.7096 6.1054
N 0.0000 2.1289 2.0351